[1]
First-principles (PBE-GGA) data for SrTi2F after structural relaxation, as listed in the Alexandria database.

Computed properties:
VASP energy = -5.255 eV per atom
ΔE to the lowest computed polymorph = 0 meV per atom
Fermi-level density of states = 5.47 states/eV/f.u.
ρ = 3.45 g/cm3
Energy relative to the elements, uncorrected = -161.6 kJ/mol of formula units
SG = I-42d

extended XYZ file:
```
8
Lattice="-5.6901 0.5441 3.1133 -2.5727 -4.5213 -3.9121 -2.8347 -5.2739 2.5448" Properties=species:S:1:pos:R:3 pbc="T T T"
Ti -8.6600 -6.2125 2.2679
Sr -6.3281 -3.3593 2.6293
Sr 0.0000 0.0000 0.0000
Ti -4.5672 -3.9291 -0.5775
F -4.7694 -5.8920 -0.8833
Ti -5.9206 -6.6700 0.5508
F -4.1314 -1.9886 -0.3994
Ti -3.0473 -1.6908 1.2508
```

[2]
First-principles (PBE-GGA) data for SmH2F after structural relaxation, as listed in the Alexandria database.

Computed properties:
VASP energy = -4.387 eV per atom
Fermi-level density of states = 0.88 states/eV/f.u.
ρ = 5.85 g/cm3
SG = P4/mmm

extended XYZ file:
```
4
Lattice="3.2751 0.0000 0.0000 0.0000 3.2751 0.0000 0.0000 0.0000 4.5322" Properties=species:S:1:pos:R:3 pbc="T T T"
F 1.6375 1.6375 2.2661
H 0.0000 0.0000 3.5452
H 0.0000 0.0000 0.9870
Sm 1.6375 1.6375 0.0000
```

[3]
First-principles (PBE-GGA) data for TePd after structural relaxation, as listed in the Alexandria database.

Computed properties:
VASP energy = -4.382 eV per atom
Fermi-level density of states = 1.54 states/eV/f.u.
ρ = 6.88 g/cm3
Energy relative to the elements, uncorrected = -41.4 kJ/mol of formula units
SG = P4_2/mnm

extended XYZ file:
```
8
Lattice="7.5112 0.0000 0.0000 0.0000 7.5112 0.0000 0.0000 0.0000 4.0041" Properties=species:S:1:pos:R:3 pbc="T T T"
Te 5.3208 5.3208 0.0000
Pd 2.7529 4.7584 0.0000
Te 2.1904 2.1904 0.0000
Pd 6.5085 6.5085 2.0020
Pd 1.0028 1.0028 2.0020
Te 1.5652 5.9460 2.0020
Te 5.9460 1.5652 2.0020
Pd 4.7584 2.7529 0.0000
```

[4]
First-principles (PBE-GGA) data for Li3Mg3Tl after structural relaxation, as listed in the Alexandria database.

Computed properties:
VASP energy = -1.878 eV per atom
Calculated formation energy = -0.0365 eV/atom
ΔE to the lowest computed polymorph = 29 meV per atom
Fermi-level density of states = 2.60 states/eV/f.u.
ρ = 3.27 g/cm3
SG = P2_13

extended XYZ file:
```
28
Lattice="-0.3735 -0.1261 8.4494 -8.3453 -1.3238 -0.3887 1.3281 -8.3534 -0.0660" Properties=species:S:1:pos:R:3 pbc="T T T"
Li -1.6442 -1.5416 4.5459
Mg -7.1574 -9.4938 7.7423
Tl -7.4099 -2.2503 4.8945
Mg 0.1601 -4.0218 4.4483
Li -4.3690 -2.3779 1.0015
Mg -1.8316 -7.3537 5.5723
Mg -3.2150 -5.0645 0.0496
Li -0.5574 -4.7959 1.5601
Tl -2.8036 -3.7187 3.0327
Li -4.4214 -8.9069 6.4831
Mg -5.5615 -3.6725 6.6380
Mg -4.5692 -1.0265 3.7492
Li -7.1827 -1.5721 2.2365
Mg -6.7300 -4.1329 0.8533
Mg -6.0538 -6.8102 2.3355
Mg -4.7537 -6.3054 5.1421
Li -1.4231 -7.5489 0.2322
Li -2.6200 -4.3318 5.7098
Li -6.2115 -6.5751 7.6874
Mg -3.1076 -1.7765 7.0914
Tl -0.5111 -5.4553 7.3420
Li -0.3168 -2.7143 7.1831
Mg -1.3346 -1.7703 1.4437
Li -7.1162 -8.0608 5.0292
Tl -4.0569 -8.1823 0.7203
Li -2.9795 -6.4536 2.7757
Mg -0.1903 -7.3919 2.9027
Li -5.5028 -3.9410 3.5241
```

[5]
First-principles (PBE-GGA) data for SnSbPO2 after structural relaxation, as listed in the Alexandria database.

Computed properties:
VASP energy = -5.069 eV per atom
ΔE to the lowest computed polymorph = 112 meV per atom
Fermi-level density of states = 0.60 states/eV/f.u.
ρ = 5.88 g/cm3
Energy relative to the elements, uncorrected = -182.7 kJ/mol of formula units
SG = P4/mmm

extended XYZ file:
```
5
Lattice="-1.6804 -0.8581 3.5797 3.6800 -0.2945 1.6569 -0.1175 5.1023 1.1679" Properties=species:S:1:pos:R:3 pbc="T T T"
Sb 0.9410 1.9748 3.2022
P -0.0587 2.5511 0.5840
O -0.8402 -0.4290 1.7898
Sn 0.0000 0.0000 0.0000
O 1.8400 -0.1473 0.8284
```

[6]
First-principles (PBE-GGA) data for DyLuPuTl after structural relaxation, as listed in the Alexandria database.

Computed properties:
VASP energy = -6.403 eV per atom
Calculated formation energy = 0.0526 eV/atom
Fermi-level density of states = 8.22 states/eV/f.u.
ρ = 11.63 g/cm3
SG = F-43m

extended XYZ file:
```
4
Lattice="-1.6878 3.6276 3.6475 -1.8536 -1.6578 4.8091 2.9105 0.8927 4.4770" Properties=species:S:1:pos:R:3 pbc="T T T"
Tl 0.0000 0.0000 0.0000
Pu -0.4732 2.1468 9.7002
Dy -0.1577 0.7156 3.2334
Lu -0.3155 1.4312 6.4668
```

[7]
First-principles (PBE-GGA) data for Dy4In3H after structural relaxation, as listed in the Alexandria database.

Computed properties:
VASP energy = -3.813 eV per atom
Fermi-level density of states = 6.31 states/eV/f.u.
ρ = 7.26 g/cm3
SG = Pmn2_1

extended XYZ file:
```
16
Lattice="6.1444 0.0000 0.0000 0.0000 9.0619 0.0000 0.0000 0.0000 8.1792" Properties=species:S:1:pos:R:3 pbc="T T T"
In 1.1542 1.0035 4.0896
In 3.2690 3.2265 5.4682
Dy 4.1376 0.3641 4.0896
Dy 3.2813 6.2886 5.8588
In 0.1968 5.8354 1.3786
Dy 1.0654 8.6978 0.0000
Dy 0.2091 2.7733 1.7692
Dy 0.4612 7.0540 4.0896
H 2.7457 7.4640 4.0896
In 0.1968 5.8354 6.8006
H 5.8178 1.5979 0.0000
Dy 3.2813 6.2886 2.3203
In 3.2690 3.2265 2.7110
In 4.2264 8.0584 0.0000
Dy 0.2091 2.7733 6.4099
Dy 3.5334 2.0080 0.0000
```

[8]
First-principles (PBE-GGA) data for Tm2NiRu after structural relaxation, as listed in the Alexandria database.

Computed properties:
VASP energy = -6.498 eV per atom
Calculated formation energy = -0.4979 eV/atom
Fermi-level density of states = 1.51 states/eV/f.u.
ρ = 11.04 g/cm3
SG = P4/mmm

extended XYZ file:
```
4
Lattice="-0.2434 -3.1482 -1.1484 -1.0743 -1.0173 3.0166 -6.2613 1.1554 -1.8402" Properties=species:S:1:pos:R:3 pbc="T T T"
Ru -0.6589 -2.0828 0.9341
Tm -4.7065 0.8685 -1.3833
Ni -3.7895 -1.5050 0.0140
Tm -1.5548 0.2869 -0.4570
```

[9]
First-principles (PBE-GGA) data for AsF3 after structural relaxation, as listed in the Alexandria database.

Computed properties:
VASP energy = -3.275 eV per atom
Fermi-level density of states = 2.05 states/eV/f.u.
ρ = 3.52 g/cm3
Energy relative to the elements, uncorrected = -273.8 kJ/mol of formula units
SG = R-3m

extended XYZ file:
```
4
Lattice="1.6800 0.0000 8.4769 -0.8400 1.4549 8.4769 -0.8400 -1.4549 8.4769" Properties=species:S:1:pos:R:3 pbc="T T T"
F 0.0000 0.0000 12.7154
As 0.0000 0.0000 0.0000
F 0.0000 0.0000 1.7945
F 0.0000 0.0000 23.6363
```

[10]
First-principles (PBE-GGA) data for PrPd4Au after structural relaxation, as listed in the Alexandria database.

Computed properties:
VASP energy = -5.363 eV per atom
Calculated formation energy = -0.5584 eV/atom
Fermi-level density of states = 5.60 states/eV/f.u.
ρ = 11.39 g/cm3
SG = F-43m

extended XYZ file:
```
6
Lattice="5.3996 0.0000 0.0000 2.6998 4.6762 0.0000 2.6998 1.5587 4.4088" Properties=species:S:1:pos:R:3 pbc="T T T"
Au 0.0000 0.0000 0.0000
Pr 2.6998 1.5587 1.1022
Pd 4.0455 3.8992 2.7572
Pd 5.3996 3.1175 0.5460
Pd 6.7537 3.8992 2.7572
Pd 5.3996 1.5539 2.7572
```

[11]
First-principles (PBE-GGA) data for KS3Br after structural relaxation, as listed in the Alexandria database.

Computed properties:
VASP energy = -2.652 eV per atom
ΔE to the lowest computed polymorph = 959 meV per atom
Fermi-level density of states = 3.46 states/eV/f.u.
ρ = 2.80 g/cm3
Energy relative to the elements, uncorrected = 182.8 kJ/mol of formula units
SG = Pm-3m

extended XYZ file:
```
5
Lattice="-0.7068 -4.6760 1.7195 4.9811 -0.6273 0.3415 -0.1030 1.7500 4.7168" Properties=species:S:1:pos:R:3 pbc="T T T"
S -0.0515 0.8750 2.3584
S 2.4905 -0.3137 0.1707
Br 0.0000 0.0000 0.0000
S -0.3534 -2.3380 0.8597
K 2.0857 -1.7767 3.3889
```

[12]
First-principles (PBE-GGA) data for Sr2BeCl after structural relaxation, as listed in the Alexandria database.

Computed properties:
VASP energy = -2.641 eV per atom
ΔE to the lowest computed polymorph = 173 meV per atom
Fermi-level density of states = 1.86 states/eV/f.u.
ρ = 2.64 g/cm3
Energy relative to the elements, uncorrected = -157.0 kJ/mol of formula units
SG = I-42d

extended XYZ file:
```
8
Lattice="7.8577 0.0000 0.0000 0.0000 7.8577 0.0000 3.9289 3.9289 4.4683" Properties=species:S:1:pos:R:3 pbc="T T T"
Sr 5.8933 5.8630 3.3512
Cl 0.0000 0.0000 0.0000
Sr 5.9235 1.9644 1.1171
Sr 9.8221 9.8524 3.3512
Sr 1.9342 5.8933 1.1171
Cl 7.8577 3.9289 2.2342
Be 3.9289 3.9289 0.0000
Be 3.9289 7.8577 2.2342
```